(1)
# LaFe2Se

LaFe2Se after structural relaxation (PBE, the Alexandria database).

abc: 4.748 4.757 6.726
angles: 90.00 90.00 90.00
Sites, in units of the cell vectors:
La 0.000 0.000 0.000
La 0.500 0.500 0.000
Fe 0.000 0.000 0.473
Fe 0.000 0.500 0.321
Fe 0.500 0.000 0.321
Fe 0.500 0.500 0.473
Se 0.000 0.500 0.690
Se 0.500 0.000 0.690

***

(2)
# LaFe2Se

LaFe2Se after structural relaxation (PBE, the Alexandria database).

abc: 3.870 4.363 4.773
angles: 90.00 90.00 90.00
Sites, in units of the cell vectors:
La 0.000 0.000 0.000
Fe 0.500 0.500 0.221
Fe 0.500 0.500 0.779
Se 0.000 0.500 0.500

***

(3)
# La3Fe5Se12

La3Fe5Se12 after structural relaxation (PBE, the Alexandria database).

abc: 13.602 13.602 13.602
angles: 109.47 109.47 109.47
Sites, in units of the cell vectors:
La 0.125 0.250 0.375
La 0.125 0.375 0.750
La 0.250 0.375 0.125
La 0.250 0.875 0.625
La 0.375 0.125 0.250
La 0.375 0.750 0.125
La 0.625 0.250 0.875
La 0.625 0.875 0.750
La 0.750 0.125 0.375
La 0.750 0.625 0.875
La 0.875 0.625 0.250
La 0.875 0.750 0.625
Fe 0.000 0.000 0.000
Fe 0.000 0.000 0.500
Fe 0.000 0.500 0.000
Fe 0.000 0.500 0.500
Fe 0.125 0.750 0.875
Fe 0.125 0.875 0.250
Fe 0.250 0.125 0.875
Fe 0.250 0.625 0.375
Fe 0.375 0.250 0.625
Fe 0.375 0.625 0.750
Fe 0.500 0.000 0.000
Fe 0.500 0.000 0.500
Fe 0.500 0.500 0.000
Fe 0.500 0.500 0.500
Fe 0.625 0.375 0.250
Fe 0.625 0.750 0.375
Fe 0.750 0.375 0.625
Fe 0.750 0.875 0.125
Fe 0.875 0.125 0.750
Fe 0.875 0.250 0.125
Se 0.022 0.197 0.113
Se 0.022 0.325 0.909
Se 0.084 0.697 0.675
Se 0.084 0.887 0.409
Se 0.091 0.613 0.416
Se 0.091 0.978 0.675
Se 0.113 0.022 0.197
Se 0.113 0.591 0.916
Se 0.175 0.197 0.584
Se 0.175 0.478 0.591
Se 0.197 0.113 0.022
Se 0.197 0.584 0.175
Se 0.303 0.325 0.916
Se 0.303 0.478 0.387
Se 0.325 0.909 0.022
Se 0.325 0.916 0.303
Se 0.387 0.303 0.478
Se 0.387 0.584 0.909
Se 0.409 0.084 0.887
Se 0.409 0.825 0.522
Se 0.416 0.091 0.613
Se 0.416 0.825 0.803
Se 0.478 0.387 0.303
Se 0.478 0.591 0.175
Se 0.522 0.409 0.825
Se 0.522 0.613 0.697
Se 0.584 0.175 0.197
Se 0.584 0.909 0.387
Se 0.591 0.175 0.478
Se 0.591 0.916 0.113
Se 0.613 0.416 0.091
Se 0.613 0.697 0.522
Se 0.675 0.084 0.697
Se 0.675 0.091 0.978
Se 0.697 0.522 0.613
Se 0.697 0.675 0.084
Se 0.803 0.416 0.825
Se 0.803 0.887 0.978
Se 0.825 0.522 0.409
Se 0.825 0.803 0.416
Se 0.887 0.409 0.084
Se 0.887 0.978 0.803
Se 0.909 0.022 0.325
Se 0.909 0.387 0.584
Se 0.916 0.113 0.591
Se 0.916 0.303 0.325
Se 0.978 0.675 0.091
Se 0.978 0.803 0.887

***

(4)
# LaFe2Se

LaFe2Se after structural relaxation (PBE, the Alexandria database).

abc: 3.691 3.691 5.880
angles: 90.00 90.14 90.00
Sites, in units of the cell vectors:
La 0.000 0.000 0.000
Fe 0.002 0.500 0.554
Fe 0.502 0.000 0.554
Se 0.501 0.500 0.260

***

For the records above, the corresponding energy relative to the elements, uncorrected values read -145 -98 -798 -251 meV per atom.